An optimized crystal structure of ThCr2SbO8, computed with GGA+U.

Values from the calculation:
**Calculated density**: 6.49 g/cm³
**Energy**: -7.54 eV/atom

```
ThCr2SbO8
1.0
3.313 -3.351 0.000
3.313 3.351 0.000
0.000 0.000 6.748
Th Cr Sb O
1 2 1 8
direct
0.000 0.000 0.000
0.500 0.500 0.269
0.500 0.500 0.731
0.000 0.000 0.500
0.201 0.201 0.280
0.201 0.201 0.720
0.306 0.694 0.500
0.331 0.669 0.000
0.669 0.331 0.000
0.694 0.306 0.500
0.799 0.799 0.280
0.799 0.799 0.720
```